A plane-wave DFT calculation with PBE was carried out for crystalline In7Pt6 at its relaxed geometry.

Cell: 10.2928 10.2928 10.2928 Å, 33.12 33.12 33.12°
Fractional coordinates of all 13 atoms:
In1 0.0000 0.0000 0.0000
In2 0.0752 0.0752 0.5707
In3 0.0752 0.5707 0.0752
In4 0.4293 0.9248 0.9248
In5 0.5707 0.0752 0.0752
In6 0.9248 0.4293 0.9248
In7 0.9248 0.9248 0.4293
Pt1 0.1654 0.1654 0.1654
Pt2 0.3145 0.3145 0.3145
Pt3 0.4052 0.4052 0.4052
Pt4 0.5948 0.5948 0.5948
Pt5 0.6855 0.6855 0.6855
Pt6 0.8346 0.8346 0.8346

Summary:
**Crystal system**: trigonal
**E_tot**: -4.215 eV/atom
**ΔH_f (0 K)**: 0.048 eV/atom
**Density of states at the Fermi level**: 4.44 states/eV/cell
**Space group**: R-3m, No. 166
**Magnetic moment**: 0.0 μB/cell



A plane-wave DFT calculation with PBE was carried out for crystalline SrBeSnF6 at its relaxed geometry.

Cell: 6.0219 6.0219 5.7780 Å, 90.00 90.00 120.00°
Fractional coordinates of all 9 atoms:
Sr1 0.0000 0.0000 0.0000
Be1 0.3333 0.6667 0.2486
Sn1 0.6667 0.3333 0.5555
F1 0.1584 0.3853 0.2496
F2 0.2270 0.8416 0.2496
F3 0.3661 0.2859 0.7712
F4 0.6147 0.7730 0.2496
F5 0.7141 0.0802 0.7712
F6 0.9198 0.6339 0.7712

Summary:
**Crystal system**: trigonal
**E_tot**: -5.405 eV/atom
**Density of states at the Fermi level**: 0.00 states/eV/cell
**Space group**: P3, No. 143
**Uncorrected formation energy**: -71.76 kcal/mol of atoms
**Magnetic moment**: 0.0 μB/cell



A plane-wave DFT calculation with PBE was carried out for crystalline Er3InIr at its relaxed geometry.

Cell: 5.4958 6.1795 8.7432 Å, 101.05 99.55 114.66°
Fractional coordinates of all 10 atoms:
Er1 0.0447 0.1776 0.2786
Er2 0.2896 0.4446 0.7361
Er3 0.3017 0.8003 0.1039
Er4 0.6983 0.1997 0.8961
Er5 0.7104 0.5554 0.2639
Er6 0.9553 0.8224 0.7214
In1 0.3458 0.7467 0.4836
In2 0.6542 0.2533 0.5164
Ir1 0.2442 0.2444 0.9990
Ir2 0.7558 0.7556 0.0010

Summary:
**Crystal system**: triclinic
**Excess energy over the best structure of this formula in the dataset**: 0.00 kJ/mol of atoms
**E_tot**: -5.662 eV/atom
**ΔH_f (0 K)**: -0.605 eV/atom
**Density of states at the Fermi level**: 6.41 states/eV/cell
**Space group**: P-1, No. 2
**Magnetic moment**: 0.0 μB/cell



A plane-wave DFT calculation with PBE was carried out for crystalline FeRePdC2 at its relaxed geometry.

Cell: 3.9469 3.9469 4.9405 Å, 90.00 90.00 90.00°
Fractional coordinates of all 5 atoms:
Fe1 0.0000 0.0000 0.0000
Re1 0.0000 0.0000 0.5000
Pd1 0.5000 0.5000 0.0000
C1 0.0000 0.5000 0.5000
C2 0.5000 0.0000 0.5000

Summary:
**Crystal system**: tetragonal
**E_tot**: -7.333 eV/atom
**ΔH_f (0 K)**: 1.577 eV/atom
**Density of states at the Fermi level**: 3.29 states/eV/cell
**Space group**: P4/mmm, No. 123
**Magnetic moment**: 3.4 μB/cell